<P>
AsPbC2 | PBE | relaxed

Cell: 5.3981 5.3981 5.8125 Å, 62.33 62.33 90.00°
Atoms (fractional coordinates):
Pb 0.0000 0.0000 0.0000
Pb 0.7500 0.2500 0.5000
As 0.5000 0.5000 0.0000
As 0.2500 0.7500 0.5000
C 0.5451 0.1250 0.2500
C 0.2049 0.6250 0.2500
C 0.3750 0.4549 0.7500
C 0.8750 0.7951 0.7500

Output
N(E_F): 2.2 states/eV/f.u.
ρ: 8.0 g/cm³

=====

<Q>
AsPbC2 | PBE | relaxed

Cell: 4.3838 4.3838 4.3838 Å, 60.00 60.00 60.00°
Atoms (fractional coordinates):
Pb 0.5000 0.5000 0.5000
As 0.0000 0.0000 0.0000
C 0.2500 0.2500 0.2500
C 0.7500 0.7500 0.7500

Output
N(E_F): 2.3 states/eV/f.u.
ρ: 8.5 g/cm³

=====

The relative energies come out as <P> 0; <Q> 1030, with values in meV per atom.

=====

<P>
As2PbC | PBE | relaxed

Cell: 6.5495 6.5495 5.9903 Å, 56.86 56.86 90.00°
Atoms (fractional coordinates):
Pb 0.0000 0.0000 0.0000
Pb 0.7500 0.2500 0.5000
As 0.5049 0.1250 0.2500
As 0.2451 0.6250 0.2500
As 0.3750 0.4951 0.7500
As 0.8750 0.7549 0.7500
C 0.5000 0.5000 0.0000
C 0.2500 0.7500 0.5000

Output
N(E_F): 0.1 states/eV/f.u.
ρ: 7.5 g/cm³

=====

<Q>
As2PbC | PBE | relaxed

Cell: 4.7861 4.7861 4.7861 Å, 60.00 60.00 60.00°
Atoms (fractional coordinates):
Pb 0.5000 0.5000 0.5000
As 0.2500 0.2500 0.2500
As 0.7500 0.7500 0.7500
C 0.0000 0.0000 0.0000

Output
N(E_F): 2.9 states/eV/f.u.
ρ: 7.9 g/cm³

=====

The relative energies come out as <P> 0; <Q> 985, with values in meV per atom.

=====

<P>
AsPbCSe2 | PBE | relaxed

Cell: 5.3025 3.9301 5.3025 Å, 90.00 90.00 90.00°
Each line ends with the local moment (μB).
Atoms (fractional coordinates):
Pb 0.5000 0.5000 0.5000  0.00
As 0.0000 0.0000 0.0000  -0.01
C 0.0000 0.5000 0.0000  0.28
Se 0.0000 0.0000 0.5000  0.04
Se 0.5000 0.0000 0.0000  0.06

Output
N(E_F): 2.4 states/eV/f.u.
ρ: 6.8 g/cm³

=====

<Q>
AsPbCSe2 | PBE | relaxed

Cell: 5.5572 5.5572 5.4913 Å, 90.00 90.00 90.00°
Each line ends with the local moment (μB).
Atoms (fractional coordinates):
Pb 0.0000 0.0000 0.0000  0.00
As 0.0000 0.0000 0.5000  0.57
C 0.5000 0.5000 0.5000  0.90
Se 0.0000 0.5000 0.0000  -0.25
Se 0.5000 0.0000 0.0000  -0.25

Output
N(E_F): 6.7 states/eV/f.u.
ρ: 4.4 g/cm³

=====

The relative energies come out as <P> 0; <Q> 1329, with values in meV per atom.

=====

<P>
As3PdC | PBE | relaxed

Cell: 4.3142 4.3142 4.3142 Å, 90.00 90.00 90.00°
Atoms (fractional coordinates):
As 0.0000 0.5000 0.0000
As 0.0000 0.0000 0.5000
As 0.5000 0.0000 0.0000
C 0.0000 0.0000 0.0000
Pd 0.5000 0.5000 0.5000

Output
N(E_F): 1.7 states/eV/f.u.
ρ: 7.1 g/cm³

=====

<Q>
As3PdC | PBE | relaxed

Cell: 4.8524 4.8524 4.8524 Å, 90.00 90.00 90.00°
Each line ends with the local moment (μB).
Atoms (fractional coordinates):
As 0.0000 0.5000 0.0000  -0.10
As 0.0000 0.0000 0.5000  -0.17
As 0.5000 0.0000 0.0000  -0.15
C 0.5000 0.5000 0.5000  0.57
Pd 0.0000 0.0000 0.0000  -0.08

Output
N(E_F): 3.0 states/eV/f.u.
ρ: 5.0 g/cm³

=====

The relative energies come out as <P> 0; <Q> 955, with values in meV per atom.